(1)
The following is a DFT calculation (PBE-GGA) of YNbPAu2 after structural relaxation.

Structure (POSCAR):
```
YNbPAu2
1.0
4.9708 0.0000 0.0000
0.0000 5.7283 0.0000
0.0000 0.0000 4.9708
Y P Au Nb
1 1 2 1
Direct
0.0000 0.5000 0.0000
0.5000 0.5000 0.5000
0.0000 0.0000 0.5000
0.5000 0.0000 0.0000
0.0000 0.0000 0.0000
```

Space group: P4/mmm (123)
Total magnetic moment in μB per formula unit: 0.00
Energy of formation from the pure elements in kJ/mol of formula units: 482



(2)
The following is a DFT calculation (PBE-GGA) of Pa2NbAu after structural relaxation.

Structure (POSCAR):
```
Pa2NbAu
1.0
3.5764 0.0000 0.0000
0.0000 3.5764 0.0000
0.0000 0.0000 7.2226
Nb Pa Au
1 2 1
Direct
0.5000 0.5000 0.0000
0.0000 0.0000 0.2351
0.0000 0.0000 0.7649
0.5000 0.5000 0.5000
```

Space group: P4/mmm (123)
Total magnetic moment in μB per formula unit: 0.00
Excess energy over the best structure of this formula in the dataset in eV per formula unit: 0.14
Energy of formation from the pure elements in kJ/mol of formula units: 21



(3)
The following is a DFT calculation (PBE-GGA) of Pa2NbAu after structural relaxation.

Structure (POSCAR):
```
Pa2NbAu
1.0
3.8105 0.0000 0.0000
1.9052 3.2999 0.0000
1.9052 1.1000 9.0914
Au Pa Nb
1 2 1
Direct
0.0000 0.0000 0.0000
0.1046 0.1046 0.6863
0.8954 0.8954 0.3137
0.5000 0.5000 0.5000
```

Space group: R-3m (166)
Total magnetic moment in μB per formula unit: 0.00
Excess energy over the best structure of this formula in the dataset in eV per formula unit: 3.30
Energy of formation from the pure elements in kJ/mol of formula units: 326



(4)
The following is a DFT calculation (PBE-GGA) of PaNb2Au after structural relaxation.

Structure (POSCAR):
```
PaNb2Au
1.0
-4.0542 -2.2993 -1.1168
-0.3061 -2.4642 -4.0994
-0.1436 -4.7827 0.0839
Nb Au Pa
2 1 1
Direct
0.7493 0.7493 0.7522
0.2507 0.2507 0.2478
0.0000 0.0000 0.0000
0.5000 0.5000 0.5000
```

Space group: R-3m (166)
Total magnetic moment in μB per formula unit: 0.00
Excess energy over the best structure of this formula in the dataset in eV per formula unit: 0.50
Energy of formation from the pure elements in kJ/mol of formula units: 49



(5)
The following is a DFT calculation (PBE-GGA) of Pa2NbAu after structural relaxation.

Structure (POSCAR):
```
Pa2NbAu
1.0
4.6982 0.0000 0.0000
0.0000 4.3047 0.0000
0.0000 0.0000 4.3047
Au Nb Pa
1 1 2
Direct
0.5000 0.0000 0.0000
0.5000 0.5000 0.5000
0.0000 0.0000 0.5000
0.0000 0.5000 0.0000
```

Space group: P4/mmm (123)
Total magnetic moment in μB per formula unit: 0.00
Excess energy over the best structure of this formula in the dataset in eV per formula unit: 0.00
Energy of formation from the pure elements in kJ/mol of formula units: 7



(6)
The following is a DFT calculation (PBE-GGA) of Pa2NbAu after structural relaxation.

Structure (POSCAR):
```
Pa2NbAu
1.0
-2.6203 1.8768 -3.8787
0.7237 -1.8190 -4.6476
-3.5819 -2.7822 -2.2050
Pa Au Nb
2 1 1
Direct
0.7500 0.7500 0.7500
0.2500 0.2500 0.2500
0.5000 0.5000 0.5000
0.0000 0.0000 0.0000
```

Space group: Fm-3m (225)
Total magnetic moment in μB per formula unit: 0.00
Excess energy over the best structure of this formula in the dataset in eV per formula unit: 0.19
Energy of formation from the pure elements in kJ/mol of formula units: 25